# CaTaAs2 | Alexandria | PBE-GGA | relaxed
data_CaTaAs2
_chemical_formula_sum 'Ca1 Ta1 As2'
_cell_length_a 4.988
_cell_length_b 5.279
_cell_length_c 5.279
_cell_angle_alpha 41.11
_cell_angle_beta 90.00
_cell_angle_gamma 90.00
_symmetry_space_group_name_H-M 'P 1'
_symmetry_Int_Tables_number 1
loop_
_symmetry_equiv_pos_as_xyz
'x,y,z'
loop_
_atom_site_label
_atom_site_type_symbol
_atom_site_fract_x
_atom_site_fract_y
_atom_site_fract_z
Ca1 Ca 0.000 0.000 0.000
Ta1 Ta 0.500 0.739 0.739
As1 As 0.000 0.718 0.718
As2 As 0.500 0.428 0.428
# SG: Amm2, No. 38
# D(E_F) in states/eV/cell: 3.45
# Polymorph energy (0 for the lowest one) in meV per atom: 309